Computed, not measured: crystalline MnCuPtRh at its relaxed geometry at the PBE level of DFT.

```
MnCuPtRh
1.0
3.6043 0.0000 0.0000
0.0000 3.8824 0.0000
0.0000 0.0000 3.9561
Mn Cu Pt Rh
1 1 1 1
direct
0.0000 0.0000 0.0000
0.0000 0.5000 0.5000
0.5000 0.0000 0.5000
0.5000 0.5000 0.0000
```

Output
- Volume: 55.4 Å³/cell
- Mass density: 12.49 g cm⁻³
- DOS at the Fermi energy: 1.129 states/eV per atom
- ΔH_f (0 K): -0.200 eV/atom
- Energy above the most stable polymorph in this dataset: 0.000 eV/atom
- Energy: -6.864 eV/atom